First-principles (PBE) data for an optimized crystal structure of TbMnRu2, as listed in the Alexandria database.

Cell: 3.1720 3.1720 6.6166 Å, 90.00 90.00 90.00°
Element x y z (fractional)
1 Tb 0.0000 0.0000 0.0000
2 Mn 0.0000 0.0000 0.5000
3 Ru 0.5000 0.5000 0.2934
4 Ru 0.5000 0.5000 0.7066

Summary:
Magnetization, μB/atom: 0.6713
DFT formation energy, eV/atom: 0.002